# 1
DFT (PBE-GGA) results for a relaxed SrNb2W crystal.

Structure (extended XYZ):
```
8
Lattice="-3.7637 -2.0051 2.8717 0.1424 -4.2995 -2.8154 4.3213 -6.6243 5.6406" Properties=species:S:1:pos:R:3 pbc="T T T"
Sr -1.8107 -3.1523 0.0282
Sr 1.3265 -7.0381 1.4267
Nb -2.1953 -3.9481 3.5711
Nb -2.1237 -6.0976 2.1631
Nb 1.8473 -6.2573 4.9556
Nb -0.0345 -7.2603 6.3911
W 0.0000 0.0000 0.0000
W -0.6266 -5.8908 4.2702
```

Summary:
The density of states at the Fermi level is 5.55 states/eV/f.u. The formation energy comes out at 1428 meV/atom.

# 2
DFT (PBE-GGA) results for a relaxed In2Re crystal.

Structure (extended XYZ):
```
3
Lattice="3.0725 0.0000 0.0000 -1.5362 2.6608 0.0000 0.0000 0.0000 7.2945" Properties=species:S:1:pos:R:3 pbc="T T T"
In 1.5362 0.8869 5.0332
In 0.0000 1.7739 2.2612
Re 0.0000 0.0000 0.0000
```

Summary:
The density of states at the Fermi level is 2.86 states/eV/f.u. The formation energy comes out at 615 meV/atom.

# 3
DFT (PBE-GGA) results for a relaxed Sc2TlTe4 crystal.

Structure (extended XYZ):
```
14
Lattice="4.1093 0.0000 0.0000 -2.0547 7.1219 0.0000 0.0000 0.0000 14.8037" Properties=species:S:1:pos:R:3 pbc="T T T"
Sc 0.0000 1.9410 6.4897
Sc 2.0547 5.1809 13.8915
Sc 0.0000 1.9410 0.9122
Sc 2.0547 5.1809 8.3140
Tl 2.0547 1.3763 11.1027
Tl 0.0000 5.7456 3.7009
Te 2.0547 3.8319 1.6804
Te 2.0547 3.8319 5.7214
Te 0.0000 3.2900 13.1232
Te 0.0000 3.2900 9.0822
Te 2.0547 6.0434 11.1027
Te 0.0000 1.0785 3.7009
Te 2.0547 0.0000 0.0000
Te 2.0547 0.0000 7.4018
```

Summary:
The density of states at the Fermi level is 3.52 states/eV/f.u. For the uncorrected formation energy, the calculation gives -0.883 eV/atom.

# 4
DFT (PBE-GGA) results for a relaxed NpGe3 crystal.

Structure (extended XYZ):
```
4
Lattice="4.0466 0.0000 0.0000 0.0000 4.0466 0.0000 -2.0233 -2.0233 4.7626" Properties=species:S:1:pos:R:3 pbc="T T T"
Np 0.0000 0.0000 0.0000
Ge 2.0233 0.0000 2.3813
Ge 0.0000 2.0233 2.3813
Ge 2.0233 2.0233 0.0000
```

Summary:
The density of states at the Fermi level is 7.06 states/eV/f.u. The formation energy comes out at -92 meV/atom.

# 5
DFT (PBE-GGA) results for a relaxed Tm2Al8Os crystal.

Structure (extended XYZ):
```
11
Lattice="4.2544 0.0000 0.0000 0.0000 4.2544 0.0000 0.0000 0.0000 11.1975" Properties=species:S:1:pos:R:3 pbc="T T T"
Tm 0.0000 0.0000 3.4642
Tm 0.0000 0.0000 7.7334
Al 0.0000 2.1272 5.5988
Al 2.1272 0.0000 5.5988
Al 2.1272 2.1272 3.4724
Al 2.1272 2.1272 7.7251
Al 0.0000 2.1272 1.3505
Al 2.1272 0.0000 1.3505
Al 0.0000 2.1272 9.8470
Al 2.1272 0.0000 9.8470
Os 0.0000 0.0000 0.0000
```

Summary:
The density of states at the Fermi level is 4.58 states/eV/f.u. The formation energy comes out at -440 meV/atom.

# 6
DFT (PBE-GGA) results for a relaxed TiAsF3 crystal.

Structure (extended XYZ):
```
5
Lattice="4.1547 0.0000 0.0000 0.0000 4.1547 0.0000 0.0000 0.0000 4.1547" Properties=species:S:1:pos:R:3 pbc="T T T"
As 2.0774 2.0774 2.0774
F 0.0000 2.0774 0.0000
F 0.0000 0.0000 2.0774
F 2.0774 0.0000 0.0000
Ti 0.0000 0.0000 0.0000
```

Summary:
The density of states at the Fermi level is 4.42 states/eV/f.u. For the uncorrected formation energy, the calculation gives -1.745 eV/atom.

# 7
DFT (PBE-GGA) results for a relaxed KBa2Sr crystal.

Structure (extended XYZ):
```
4
Lattice="8.4877 -0.0216 -0.0182 4.0406 7.4643 0.0182 -5.3795 -5.2104 3.9943" Properties=species:S:1:pos:R:3 pbc="T T T"
Sr 2.5335 3.0297 2.0062
K 6.2021 3.6845 0.0000
Ba 0.0580 0.0344 0.0000
Ba 4.6193 -0.7951 1.9880
```

Summary:
The density of states at the Fermi level is 6.30 states/eV/f.u. The formation energy comes out at 90 meV/atom.

# 8
DFT (PBE-GGA) results for a relaxed BaTe2CN crystal.

Structure (extended XYZ):
```
5
Lattice="6.8271 0.0000 0.0000 0.0000 6.8271 0.0000 0.0000 0.0000 5.3088" Properties=species:S:1:pos:R:3 pbc="T T T"
C 3.4135 3.4135 2.6544
Te 0.0000 3.4135 0.0000
Te 3.4135 0.0000 0.0000
Ba 0.0000 0.0000 0.0000
N 0.0000 0.0000 2.6544
```

Summary:
The density of states at the Fermi level is 3.72 states/eV/f.u. For the uncorrected formation energy, the calculation gives 2.224 eV/atom.

# 9
DFT (PBE-GGA) results for a relaxed KLiTl2I4 crystal.

Structure (extended XYZ):
```
16
Lattice="-3.3923 2.7005 -8.7147 -3.0185 -9.0927 -1.7201 -2.8880 4.7027 8.0833" Properties=species:S:1:pos:R:3 pbc="T T T"
K -1.5093 -4.5463 -0.8600
K -6.3456 0.5055 -5.5332
Li -4.6498 -0.8446 -1.1752
Li -9.2981 -1.6899 -2.3519
Tl -1.6962 1.3502 -4.3574
Tl -3.1402 3.7016 -0.3157
Tl -1.4441 2.3513 4.0417
Tl -6.0933 1.5065 2.8659
I -5.9804 -1.7345 4.7917
I -4.7438 1.8071 -2.7521
I -4.5551 -3.4964 0.4005
I -3.3185 0.0452 -7.1434
I -7.6229 -0.1874 0.0780
I -6.3259 -2.3350 -3.6124
I -2.9737 0.6456 1.2609
I -1.6755 -1.5022 -2.4297
```

Summary:
The density of states at the Fermi level is 0.00 states/eV/f.u. For the uncorrected formation energy, the calculation gives -0.958 eV/atom.

# 10
DFT (PBE-GGA) results for a relaxed HgAuBr6 crystal.

Structure (extended XYZ):
```
8
Lattice="-6.1313 -2.5269 1.5737 -5.4070 -3.7129 -6.3501 -1.1828 -6.5480 0.6640" Properties=species:S:1:pos:R:3 pbc="T T T"
Hg -6.3605 -6.3939 -2.0562
Au 0.0000 0.0000 0.0000
Br -3.9646 -6.6928 -2.4906
Br -5.8530 -7.1762 1.6670
Br -5.1157 -3.7843 -0.3041
Br -6.8680 -5.6116 -5.7795
Br -8.7564 -6.0950 -1.6219
Br -7.6054 -9.0035 -3.8083
```

Summary:
The density of states at the Fermi level is 5.95 states/eV/f.u. For the uncorrected formation energy, the calculation gives -0.141 eV/atom.

# 11
DFT (PBE-GGA) results for a relaxed CaTm4In5 crystal.

Structure (extended XYZ):
```
10
Lattice="3.7152 0.0000 0.0000 0.0000 3.7152 0.0000 0.0000 0.0000 19.0596" Properties=species:S:1:pos:R:3 pbc="T T T"
Ca 0.0000 0.0000 0.0000
Tm 0.0000 0.0000 3.9004
Tm 0.0000 0.0000 7.6641
Tm 0.0000 0.0000 11.3955
Tm 0.0000 0.0000 15.1592
In 1.8576 1.8576 2.0423
In 1.8576 1.8576 5.7924
In 1.8576 1.8576 9.5298
In 1.8576 1.8576 13.2672
In 1.8576 1.8576 17.0173
```

Summary:
The density of states at the Fermi level is 5.37 states/eV/f.u. The formation energy comes out at -432 meV/atom.

# 12
DFT (PBE-GGA) results for a relaxed Na2DyZn9 crystal.

Structure (extended XYZ):
```
12
Lattice="5.1529 0.0000 1.5336 2.3482 4.5867 1.5336 0.0935 0.0572 9.1096" Properties=species:S:1:pos:R:3 pbc="T T T"
Na 6.4630 3.9519 6.5553
Na 1.1316 0.6919 5.6215
Dy 0.0000 0.0000 0.0000
Zn 4.9945 3.0540 2.0659
Zn 2.6001 1.5899 10.1109
Zn 3.7973 2.3219 6.0884
Zn 3.1462 1.9238 3.5211
Zn 5.7463 1.9238 4.2949
Zn 4.3311 4.2382 4.2949
Zn 4.4484 2.7201 8.6557
Zn 3.2635 0.4057 7.8818
Zn 1.8483 2.7201 7.8818
```

Summary:
The density of states at the Fermi level is 5.29 states/eV/f.u. The formation energy comes out at -127 meV/atom.

# 13
DFT (PBE-GGA) results for a relaxed Ti2Be2Nb crystal.

Structure (extended XYZ):
```
10
Lattice="6.8555 0.0000 0.0000 0.0000 6.8555 0.0000 0.0000 0.0000 2.9772" Properties=species:S:1:pos:R:3 pbc="T T T"
Be 2.6519 6.0796 0.0000
Be 6.0796 4.2036 0.0000
Be 4.2036 0.7759 0.0000
Be 0.7759 2.6519 0.0000
Nb 0.0000 0.0000 0.0000
Nb 3.4277 3.4277 0.0000
Ti 1.2313 4.6590 1.4886
Ti 4.6590 5.6242 1.4886
Ti 5.6242 2.1965 1.4886
Ti 2.1965 1.2313 1.4886
```

Summary:
The density of states at the Fermi level is 6.41 states/eV/f.u. The formation energy comes out at -55 meV/atom.

# 14
DFT (PBE-GGA) results for a relaxed Pm2Se2Cl crystal.

Structure (extended XYZ):
```
10
Lattice="5.8453 0.0000 0.0000 -2.9227 6.6054 0.2189 0.0000 -3.3051 7.6940" Properties=species:S:1:pos:R:3 pbc="T T T"
Pm 0.0000 0.2632 4.5282
Pm 2.9227 3.0371 3.3847
Pm 0.0000 5.6642 2.1601
Pm 2.9227 -2.3639 5.7528
Se 2.9227 0.3235 4.6359
Se 0.0000 2.9768 3.2770
Se 0.0000 -2.3688 5.8319
Se 2.9227 5.6691 2.0809
Cl 0.0000 1.6176 7.0930
Cl 2.9227 1.6828 0.8199
```

Summary:
The density of states at the Fermi level is 1.88 states/eV/f.u. For the uncorrected formation energy, the calculation gives -1.938 eV/atom.

# 15
DFT (PBE-GGA) results for a relaxed CuSbPb crystal.

Structure (extended XYZ):
```
3
Lattice="-0.2622 -3.9129 -3.0129 2.6293 -0.0768 -4.1878 3.8689 -3.0495 -0.4350" Properties=species:S:1:pos:R:3 pbc="T T T"
Cu 0.0000 0.0000 0.0000
Pb 3.1180 -3.5196 -3.8179
Sb 4.6770 -5.2794 -5.7268
```

Summary:
The density of states at the Fermi level is 0.48 states/eV/f.u. For the uncorrected formation energy, the calculation gives 0.340 eV/atom.

# 16
DFT (PBE-GGA) results for a relaxed SmCoGe3Ir crystal.

Structure (extended XYZ):
```
12
Lattice="5.8541 0.0000 0.0000 0.0000 6.1302 0.0000 0.0000 -3.0651 6.8968" Properties=species:S:1:pos:R:3 pbc="T T T"
Sm 4.3905 0.0000 2.4770
Sm 1.4635 3.0651 4.4198
Co 1.4635 0.0000 5.6638
Co 4.3905 3.0651 1.2330
Ge 1.4635 0.0000 3.4791
Ge 0.0000 1.6923 0.0000
Ge 2.9270 4.4379 0.0000
Ge 2.9270 1.6923 0.0000
Ge 0.0000 4.4379 0.0000
Ge 4.3905 3.0651 3.4177
Ir 1.4635 0.0000 1.1354
Ir 4.3905 3.0651 5.7614
```

Summary:
The density of states at the Fermi level is 3.18 states/eV/f.u. The formation energy comes out at -312 meV/atom.

# 17
DFT (PBE-GGA) results for a relaxed Dy5Y crystal.

Structure (extended XYZ):
```
6
Lattice="5.0131 0.0000 0.0000 -2.5066 5.1915 -2.1209 0.0000 0.4723 7.0774" Properties=species:S:1:pos:R:3 pbc="T T T"
Dy 2.5066 4.9373 -1.6065
Dy 0.0000 3.2771 0.2767
Dy 2.5066 1.8636 5.7056
Dy 2.5066 1.6170 2.1602
Dy 2.5066 5.1645 1.9248
Y 0.0000 3.5144 3.8151
```

Summary:
The density of states at the Fermi level is 8.38 states/eV/f.u. The formation energy comes out at 19 meV/atom.

# 18
DFT (PBE-GGA) results for a relaxed CaScAlPt2 crystal.

Structure (extended XYZ):
```
5
Lattice="-2.2692 3.5179 0.2424 -1.8858 -0.9671 -3.6183 -2.1053 -4.1772 4.6435" Properties=species:S:1:pos:R:3 pbc="T T T"
Ca 0.0000 0.0000 0.0000
Sc -3.0343 -1.9344 -0.3313
Al -3.2260 0.3081 1.5990
Pt -3.0336 0.6121 -1.0123
Pt -3.2267 -2.2384 2.2800
```

Summary:
The density of states at the Fermi level is 2.29 states/eV/f.u. The formation energy comes out at -1047 meV/atom.

# 19
DFT (PBE-GGA) results for a relaxed Mn2CuBi2 crystal.

Structure (extended XYZ):
```
5
Lattice="3.3844 0.0000 0.0000 0.0000 3.3844 0.0000 1.6922 1.6922 8.5124" Properties=species:S:1:pos:R:3 pbc="T T T"
Mn 3.3844 1.6922 4.2562
Mn 1.6922 3.3844 4.2562
Bi 1.6922 1.6922 1.9269
Bi 3.3844 3.3844 6.5855
Cu 0.0000 0.0000 0.0000
```

Summary:
The density of states at the Fermi level is 6.18 states/eV/f.u. The formation energy comes out at 574 meV/atom.

# 20
DFT (PBE-GGA) results for a relaxed AlSiRu3 crystal.

Structure (extended XYZ):
```
5
Lattice="-3.8509 1.9806 0.3985 -1.5287 -3.4174 2.2125 1.3208 1.8192 3.7225" Properties=species:S:1:pos:R:3 pbc="T T T"
Ru -0.7643 -1.7087 1.1063
Ru 0.6604 0.9096 1.8612
Ru -1.9254 0.9903 0.1992
Si 0.0000 0.0000 0.0000
Al -2.0294 0.1912 3.1667
```

Summary:
The density of states at the Fermi level is 6.20 states/eV/f.u. For the uncorrected formation energy, the calculation gives 0.416 eV/atom.

# 21
DFT (PBE-GGA) results for a relaxed Pm5Cd2Ru2 crystal.

Structure (extended XYZ):
```
18
Lattice="7.8450 0.0000 0.0000 0.0000 7.6368 0.0000 0.0000 -3.8184 8.2490" Properties=species:S:1:pos:R:3 pbc="T T T"
Pm 0.0000 0.0000 0.0000
Pm 3.9225 3.8184 0.0000
Pm 6.5124 5.0996 1.9243
Pm 1.3326 2.5372 1.9243
Pm 2.5899 6.3556 1.9243
Pm 5.2551 1.2812 1.9243
Pm 1.3326 -1.2812 6.3247
Pm 6.5124 1.2812 6.3247
Pm 5.2551 -2.5372 6.3247
Pm 2.5899 2.5372 6.3247
Cd 0.0000 0.0000 3.5891
Cd 3.9225 3.8184 3.5891
Cd 0.0000 3.8184 4.6600
Cd 3.9225 0.0000 4.6600
Ru 4.9812 6.6198 0.0000
Ru 2.8638 1.0170 0.0000
Ru 1.0587 4.8354 0.0000
Ru 6.7863 2.8014 0.0000
```

Summary:
The density of states at the Fermi level is 7.65 states/eV/f.u. The formation energy comes out at -249 meV/atom.

# 22
DFT (PBE-GGA) results for a relaxed LiYPuTe3 crystal.

Structure (extended XYZ):
```
12
Lattice="4.3039 0.0000 0.0000 0.0000 8.9401 0.0878 0.0000 -2.2702 9.2469" Properties=species:S:1:pos:R:3 pbc="T T T"
Li 1.0760 -0.5654 5.4019
Li 3.2279 7.2353 3.9327
Y 1.0760 5.6140 1.5711
Y 3.2279 1.0559 7.7636
Pu 1.0760 1.1045 2.1452
Pu 3.2279 5.5654 7.1894
Te 3.2279 7.8118 1.2597
Te 1.0760 -1.1419 8.0750
Te 1.0760 5.7206 4.6812
Te 3.2279 0.9492 4.6535
Te 3.2279 3.4301 1.6256
Te 1.0760 3.2397 7.7090
```

Summary:
The density of states at the Fermi level is 15.20 states/eV/f.u. For the uncorrected formation energy, the calculation gives -1.165 eV/atom.

# 23
DFT (PBE-GGA) results for a relaxed KLi3In crystal.

Structure (extended XYZ):
```
5
Lattice="-0.8036 -4.3730 -2.9419 1.0946 -3.0495 4.2339 -5.1556 0.0342 1.3575" Properties=species:S:1:pos:R:3 pbc="T T T"
K 0.0000 0.0000 0.0000
Li 0.5473 -1.5247 2.1170
Li -2.5778 0.0171 0.6787
Li -0.4018 -2.1865 -1.4709
In -2.4323 -3.6941 1.3248
```

Summary:
The density of states at the Fermi level is 3.11 states/eV/f.u. The formation energy comes out at 619 meV/atom.

# 24
DFT (PBE-GGA) results for a relaxed Y3Al8Pd3 crystal.

Structure (extended XYZ):
```
14
Lattice="-1.1389 2.9260 3.0996 -7.4992 2.5156 -1.9900 -5.7002 -3.7533 4.5888" Properties=species:S:1:pos:R:3 pbc="T T T"
Y -9.7483 0.0035 2.6951
Y -4.5900 1.6847 3.0033
Y 0.0000 0.0000 0.0000
Al -4.5882 -1.3744 2.7517
Al -9.7501 3.0627 2.9467
Al -9.1462 0.3309 5.7473
Al -5.1921 1.3573 -0.0489
Al -7.4191 1.9171 1.7444
Al -6.9192 -0.2289 3.9539
Al -2.1667 0.0169 2.3280
Al -12.1716 1.6713 3.3703
Pd -6.5997 -0.6189 1.2994
Pd -11.7120 -0.0627 5.1761
Pd -2.6263 1.7509 0.5222
```

Summary:
The density of states at the Fermi level is 5.01 states/eV/f.u. The formation energy comes out at -708 meV/atom.